(1)
Rb3SrAl PBE optimized geometry; ΔH_f (0 K) = 85.05 kJ/mol of atoms; energy = -0.0576 Ry per atom; DOS(E_F) = 7.64 states/eV per cell; space group = Pm-3m, No. 221
1.0
-1.0833 -1.6053 7.7808
-1.3427 -7.7028 -1.7762
7.8304 -1.5429 0.7719
Al Sr Rb
1 1 3
Direct
0.5000 0.5000 0.5000 Al
0.0000 0.0000 0.0000 Sr
0.0000 0.0000 0.5000 Rb
0.0000 0.5000 0.0000 Rb
0.5000 0.0000 0.0000 Rb

(2)
Rb2SrAl2 PBE optimized geometry; ΔH_f (0 K) = 61.07 kJ/mol of atoms; energy = -0.1167 Ry per atom; DOS(E_F) = 6.55 states/eV per cell; space group = I4/mmm, No. 139
1.0
6.2766 0.0000 0.0000
0.0000 6.2766 0.0000
3.1383 3.1383 5.7375
Al Rb Sr
2 2 1
Direct
0.7500 0.2500 0.5000 Al
0.2500 0.7500 0.5000 Al
0.6385 0.6385 0.7229 Rb
0.3615 0.3615 0.2771 Rb
0.0000 0.0000 0.0000 Sr

(3)
RbSrAl3 PBE optimized geometry; ΔH_f (0 K) = 89.31 kJ/mol of atoms; energy = -0.1360 Ry per atom; DOS(E_F) = 8.50 states/eV per cell; space group = Pm-3m, No. 221
1.0
6.1173 0.0000 0.0000
0.0000 6.1173 0.0000
0.0000 0.0000 6.1173
Al Rb Sr
3 1 1
Direct
0.5000 0.0000 0.0000 Al
0.0000 0.5000 0.0000 Al
0.0000 0.0000 0.5000 Al
0.5000 0.5000 0.5000 Rb
0.0000 0.0000 0.0000 Sr

Question: Look up the energy of the first one.
Answer: -0.0576 Ry per atom